The following is a DFT calculation (GGA-PBE) of a relaxed KMgS3 crystal.

```
5
Lattice="-4.613 -1.673 -0.797 -0.237 -1.587 4.705 -1.838 4.404 1.393" Properties=species:S:1:pos:R:3 pbc="T T T"
Mg 0.000 0.000 0.000
K -3.344 0.572 2.651
S -0.118 -0.793 2.352
S -0.919 2.202 0.696
S -2.306 -0.836 -0.398
```

Computed properties:
Uncorrected energy: -3.39 eV per atom
DOS(E_F): 0.74 states/eV per atom
Symmetry: Pm-3m
Polymorph energy (0 for the lowest one): 0.0 kJ per mole of atoms
Uncorrected formation energy: -0.3776 eV per atom